1.
A plane-wave DFT calculation with PBE was carried out for Li6Ir2Rh after structural relaxation.

Energy relative to the elements   -1.45 eV/f.u.
D(E_F)   0.816 states/eV/atom
Calculated density   7.3 Mg/m³
Crystal system   monoclinic

Cell lengths 12.9786, 7.4905, 2.4872 Å; angles 90.00, 90.16, 90.00 degrees
With the nearest neighbours (Å) after each atom.
Space group C2/m (No. 12)
Unique sites:
Li: 0.0000 0.1638 0.0000  5 Li 2.45-2.52
Li: 0.1680 0.3319 0.9965  5 Li 2.46-2.52
Ir: 0.1667 0.0000 0.5000  2 Ir 2.49, 12 Li 2.78
Rh: 0.0000 0.5000 0.5000  2 Rh 2.49

***

2.
A plane-wave DFT calculation with PBE was carried out for LiIr2Rh after structural relaxation.

Energy relative to the elements   -0.05 eV/f.u.
D(E_F)   1.165 states/eV/atom
Calculated density   14.9 Mg/m³
Crystal system   orthorhombic

Cell lengths 2.7025, 3.8896, 5.2488 Å; angles 90.00, 90.00, 90.00 degrees
With the nearest neighbours (Å) after each atom.
Space group Pmmm (No. 47)
Unique sites:
Li: 0.0000 0.0000 0.0000  2 Rh 2.62, 8 Ir 2.69, 2 Li 2.70
Ir: 0.5000 0.5000 0.2438  4 Ir 2.56-2.70, 4 Li 2.69, 4 Rh 2.72
Rh: 0.0000 0.0000 0.5000  2 Li 2.62, 2 Rh 2.70, 8 Ir 2.72

***

Number 1 is which compound?
Li6Ir2Rh